Entry 1:
# SrBe3S (PBE, optimized geometry)
# Formation energy (no corrections) in eV/atom: 2.222
# ΔE to the lowest computed polymorph in eV/atom: 1.519
# DOS at the Fermi energy in states/eV/f.u.: 4.22
# E_tot in eV per atom: -1.175
data_SrBe3S
_cell_length_a 5.599
_cell_length_b 5.599
_cell_length_c 5.599
_cell_angle_alpha 90.00
_cell_angle_beta 90.00
_cell_angle_gamma 90.00
_space_group_name_H-M_alt 'P m -3 m'
_space_group_IT_number 221
_space_group_name_Hall '-P 4 2 3'
loop_
_atom_site_label
_atom_site_fract_x
_atom_site_fract_y
_atom_site_fract_z
Sr1 0.000 0.000 0.000
Be1 0.000 0.000 0.500
S1 0.500 0.500 0.500

***

Entry 2:
# SrTaBe2S (PBE, optimized geometry)
# Formation energy (no corrections) in eV/atom: 0.122
# DOS at the Fermi energy in states/eV/f.u.: 1.99
# E_tot in eV per atom: -4.901
data_SrTaBe2S
_cell_length_a 4.703
_cell_length_b 4.703
_cell_length_c 4.701
_cell_angle_alpha 90.00
_cell_angle_beta 90.00
_cell_angle_gamma 90.00
_space_group_name_H-M_alt 'P 4/m m m'
_space_group_IT_number 123
_space_group_name_Hall '-P 4 2'
loop_
_atom_site_label
_atom_site_fract_x
_atom_site_fract_y
_atom_site_fract_z
Sr1 0.000 0.000 0.000
Ta1 0.500 0.500 0.500
Be1 0.000 0.500 0.500
S1 0.500 0.500 0.000

***

What is the formula in the second record?
SrTaBe2S

***

Number 2 is which compound?
SrTaBe2S